An optimized crystal structure of RbAlRu, computed with PBE-GGA.

Output
The calculated formation energy comes out at 0.52 eV/f.u. As for the distance to the lowest polymorph of the same formula: 0.110 eV per atom.

Lattice parameters (Å, degrees): 7.3248 4.2296 12.9002 90.00 106.42 90.00
Fractional coordinates of all 12 atoms:
Rb  0.0000  0.0000  0.0000
Rb  0.1839  0.5000  0.3672
Rb  0.5000  0.5000  0.0000
Rb  0.6839  0.0000  0.3672
Al  0.1267  0.0000  0.5849
Al  0.2309  0.0000  0.7945
Al  0.6267  0.5000  0.5849
Al  0.7309  0.5000  0.7945
Ru  0.0259  0.5000  0.7174
Ru  0.3351  0.5000  0.6689
Ru  0.5259  0.0000  0.7174
Ru  0.8351  0.0000  0.6689



An optimized crystal structure of RbAlRu, computed with PBE-GGA.

Output
The calculated formation energy comes out at 0.75 eV/f.u. As for the distance to the lowest polymorph of the same formula: 0.185 eV per atom.

Lattice parameters (Å, degrees): 3.4869 3.4229 6.5686 90.00 104.91 90.00
Fractional coordinates of all 3 atoms:
Rb  0.0000  0.0000  0.0000
Al  0.2424  0.5000  0.5104
Ru  0.7265  0.0000  0.4782



An optimized crystal structure of RbAlRu, computed with PBE-GGA.

Output
The calculated formation energy comes out at 0.49 eV/f.u. As for the distance to the lowest polymorph of the same formula: 0.098 eV per atom.

Lattice parameters (Å, degrees): 7.3304 4.2280 12.2181 90.00 91.22 90.00
Fractional coordinates of all 12 atoms:
Rb  0.1780  0.0000  0.3141
Rb  0.3220  0.5000  0.6859
Rb  0.6780  0.5000  0.3141
Rb  0.8220  0.0000  0.6859
Al  0.0037  0.5000  0.1056
Al  0.4963  0.0000  0.8944
Al  0.5037  0.0000  0.1056
Al  0.9963  0.5000  0.8944
Ru  0.1658  0.0000  0.9746
Ru  0.3342  0.5000  0.0254
Ru  0.6658  0.5000  0.9746
Ru  0.8342  0.0000  0.0254



An optimized crystal structure of RbAlRu, computed with PBE-GGA.

Output
The calculated formation energy comes out at 0.74 eV/f.u. As for the distance to the lowest polymorph of the same formula: 0.181 eV per atom.

Lattice parameters (Å, degrees): 3.4275 3.4275 12.7380 90.00 90.00 90.00
Fractional coordinates of all 6 atoms:
Rb  0.0000  0.0000  0.0000
Rb  0.5000  0.5000  0.5000
Al  0.0000  0.0000  0.7406
Al  0.5000  0.5000  0.2406
Ru  0.0000  0.0000  0.2697
Ru  0.5000  0.5000  0.7697



An optimized crystal structure of RbAlRu, computed with PBE-GGA.

Output
The calculated formation energy comes out at 0.24 eV/f.u. As for the distance to the lowest polymorph of the same formula: 0.017 eV per atom.

Lattice parameters (Å, degrees): 3.2425 3.9402 12.8992 90.00 95.52 90.00
Fractional coordinates of all 6 atoms:
Rb  0.1132  0.0000  0.3224
Rb  0.8868  0.5000  0.6776
Al  0.4724  0.4945  0.9280
Al  0.5276  0.9945  0.0720
Ru  0.0350  0.4946  0.0894
Ru  0.9650  0.9946  0.9106



An optimized crystal structure of Rb2AlRu, computed with PBE-GGA.

Output
The calculated formation energy comes out at 2.85 eV/f.u.

Lattice parameters (Å, degrees): 12.9353 12.9353 4.8294 90.00 90.00 90.00
Fractional coordinates of all 16 atoms:
Rb  0.0149  0.2500  0.1250
Rb  0.2500  0.5149  0.3750
Rb  0.2500  0.9851  0.8750
Rb  0.4851  0.2500  0.6250
Rb  0.5149  0.7500  0.6250
Rb  0.7500  0.0149  0.8750
Rb  0.7500  0.4851  0.3750
Rb  0.9851  0.7500  0.1250
Al  0.0000  0.0000  0.5000
Al  0.0000  0.5000  0.7500
Al  0.5000  0.0000  0.2500
Al  0.5000  0.5000  0.0000
Ru  0.0000  0.0000  0.0000
Ru  0.0000  0.5000  0.2500
Ru  0.5000  0.0000  0.7500
Ru  0.5000  0.5000  0.5000